(1)
Compound: Li2HfMgO4
Source: Alexandria via LeMat-Bulk
Functional: PBE
Structure: optimized geometry

Cell and atoms, written as POSCAR:
```
Li2HfMgO4
1.0
-2.1014 2.1014 4.5704
2.1014 -2.1014 4.5704
2.1014 2.1014 -4.5704
Li Hf Mg O
2 1 1 4
Cartesian
0.0000 0.0000 0.0000
0.0000 2.1014 2.2852
2.1014 0.0000 2.2852
0.0000 0.0000 4.5704
2.1014 0.0000 0.2168
0.0000 0.0000 2.4066
2.1014 0.0000 4.3536
0.0000 0.0000 6.7342
```

Properties
- Total energy: -7.18 eV/atom
- E_form (uncorrected): -2776 meV per atom


(2)
Compound: V2Cu2Pd7
Source: Alexandria via LeMat-Bulk
Functional: PBE
Structure: optimized geometry

Cell and atoms, written as POSCAR:
```
V2Cu2Pd7
1.0
3.4635 -3.7342 0.0000
3.4635 3.7342 0.0000
-1.1570 0.0000 6.3885
V Cu Pd
2 2 7
Cartesian
3.4635 2.4922 0.0000
3.4635 -2.4922 0.0000
2.3932 0.0000 0.5968
3.3768 0.0000 5.7918
0.8218 1.3817 4.6753
0.3486 0.0000 2.2284
0.8218 -1.3817 4.6753
2.8850 0.0000 3.1943
4.9482 1.3817 1.7132
5.4214 0.0000 4.1601
4.9482 -1.3817 1.7132
```

Properties
- Offset from the most stable computed form: 0.072 eV per atom
- Total energy: -5.75 eV/atom
- E_form: -0.4 eV/f.u.


(3)
Compound: MgReO4
Source: Alexandria via LeMat-Bulk
Functional: PBE
Structure: optimized geometry

Cell and atoms, written as POSCAR:
```
MgReO4
1.0
-3.1554 3.1554 3.9721
3.1554 -3.1554 3.9721
3.1554 3.1554 -3.9721
Mg Re O
1 1 4
Cartesian
0.0000 0.0000 0.0000
3.1554 0.0000 1.9861
3.0847 -1.5798 2.8287
4.7353 -0.0707 1.1435
1.5756 0.0707 1.1435
3.2262 1.5798 2.8287
```

Properties
- Offset from the most stable computed form: 0.077 eV per atom
- Total energy: -7.50 eV/atom
- E_form (uncorrected): -1850 meV per atom


(4)
Compound: LaMg7Ni5
Source: Alexandria via LeMat-Bulk
Functional: PBE
Structure: optimized geometry

Cell and atoms, written as POSCAR:
```
LaMg7Ni5
1.0
-2.6593 4.5758 4.6129
2.6593 -4.5758 4.6129
2.6593 4.5758 -4.6129
La Mg Ni
1 7 5
Cartesian
0.0000 0.0000 0.0000
2.6593 1.9062 -0.3812
2.6593 -1.4428 4.0048
0.0000 0.0000 2.9322
2.6593 1.4428 4.0048
0.0000 0.0000 5.8844
0.0000 4.5758 2.0654
0.0000 2.6697 4.2317
2.6593 0.0000 1.6496
1.2959 2.2033 1.8248
4.0227 2.2033 1.8248
-1.3634 2.3725 6.4377
1.3634 2.3725 6.4377
```

Properties
- Total energy: -3.61 eV/atom
- E_form: -1.9 eV/f.u.


(5)
Compound: PuTaMo
Source: Alexandria via LeMat-Bulk
Functional: PBE
Structure: optimized geometry

Cell and atoms, written as POSCAR:
```
PuTaMo
1.0
0.0000 4.1356 5.1320
2.9439 0.0000 5.1320
2.9439 4.1356 0.0000
Pu Ta Mo
2 2 2
Cartesian
2.9439 1.3985 5.1320
2.9439 6.8727 5.1320
1.4720 2.0678 2.5660
4.4159 6.2034 7.6980
2.9439 4.1356 3.5521
2.9439 4.1356 6.7119
```

Properties
- Total energy: -11.84 eV/atom
- E_form: 1.5 eV/f.u.


(6)
Compound: CdSbP2S
Source: Alexandria via LeMat-Bulk
Functional: PBE
Structure: optimized geometry

Cell and atoms, written as POSCAR:
```
CdSbP2S
1.0
5.1196 0.0000 0.0000
0.0000 5.1196 0.0000
0.0000 0.0000 4.9588
Cd Sb P S
1 1 2 1
Cartesian
0.0000 0.0000 0.0000
2.5598 2.5598 2.4794
0.0000 2.5598 2.4794
2.5598 0.0000 2.4794
2.5598 2.5598 0.0000
```

Properties
- Offset from the most stable computed form: 0.000 eV per atom
- Total energy: -3.14 eV/atom
- E_form (uncorrected): 857 meV per atom


(7)
Compound: Y8C3S
Source: Alexandria via LeMat-Bulk
Functional: PBE
Structure: optimized geometry

Cell and atoms, written as POSCAR:
```
Y8C3S
1.0
6.3842 -3.6871 0.0000
6.3842 3.6871 0.0000
-4.2659 0.0000 6.0965
Y C S
8 3 1
Cartesian
3.1147 1.9689 4.4579
-0.0047 0.0000 4.4120
1.9780 0.0000 1.6384
5.3878 1.9689 1.6386
3.1147 -1.9689 4.4579
6.5246 0.0000 4.4581
8.5073 0.0000 1.6845
5.3878 -1.9689 1.6386
-2.1330 0.0000 3.0483
1.0592 1.8436 3.0483
1.0592 -1.8436 3.0483
4.2513 0.0000 3.0483
```

Properties
- Total energy: -7.51 eV/atom
- E_form (uncorrected): -548 meV per atom


(8)
Compound: Hf3NbSn2
Source: Alexandria via LeMat-Bulk
Functional: PBE
Structure: optimized geometry

Cell and atoms, written as POSCAR:
```
Hf3NbSn2
1.0
7.1294 -2.9797 0.0000
7.1294 2.9797 0.0000
-1.4318 0.0000 6.2246
Hf Nb Sn
6 2 4
Cartesian
6.0555 1.4981 4.6684
4.0907 0.0583 2.5599
3.3748 -0.0583 5.6722
9.4521 0.0583 0.5524
8.7362 -0.0583 3.6647
6.7714 -1.4981 1.5561
6.7714 1.2233 1.5561
6.0555 -1.2233 4.6684
1.9676 0.0464 0.4290
1.2517 -0.0464 3.5413
11.5752 0.0464 2.6833
10.8593 -0.0464 5.7956
```

Properties
- Total energy: -8.17 eV/atom
- E_form: -1.1 eV/f.u.


Look up the total energy of the fifth one.
-11.84 eV/atom